[1]
Here is an optimized crystal structure of SiRhO3 from the Alexandria database. Energies are from PBE-GGA.

Values from the calculation:
The calculation puts the uncorrected formation energy at -0.126 eV per atom. For the total energy, the calculation gives -5.6558 eV per atom.

a b c (Å): 3.870 3.870 3.870
angles (deg): 90.00 90.00 90.00
Space group Pm-3m (No. 221)
Inequivalent atoms, fractional coordinates:
Si1 0.000 0.000 0.000 x1
Rh1 0.500 0.500 0.500 x1
O1 0.000 0.500 0.500 x3



[2]
Here is an optimized crystal structure of CsTlSCl2 from the Alexandria database. Energies are from PBE-GGA.

Values from the calculation:
The calculation puts the uncorrected formation energy at -0.234 eV per atom. For the total energy, the calculation gives -2.4421 eV per atom.

a b c (Å): 6.343 6.343 5.653
angles (deg): 90.00 90.00 90.00
Space group P4/mmm (No. 123)
Inequivalent atoms, fractional coordinates:
Cs1 0.000 0.000 0.000 x1
Tl1 0.500 0.500 0.500 x1
S1 0.000 0.000 0.500 x1
Cl1 0.000 0.500 0.000 x2



[3]
Here is an optimized crystal structure of Tb3Dy2Ho6Tm from the Alexandria database. Energies are from PBE-GGA.

Values from the calculation:
For the total energy, the calculation gives -4.5682 eV per atom. As for the formation enthalpy at 0 K: 0.018 eV/atom.

a b c (Å): 6.108 10.568 11.679
angles (deg): 90.00 99.97 90.00
Space group C2/m (No. 12)
Inequivalent atoms, fractional coordinates:
Tb1 0.000 0.000 0.000 x2
Tb2 0.000 0.333 0.000 x4
Dy1 0.000 0.167 0.500 x4
Ho1 0.250 0.000 0.749 x4
Ho2 0.250 0.167 0.251 x8
Tm1 0.000 0.500 0.500 x2